The following is a PBEsol calculation of Y2CdAs after structural relaxation, from Alexandria.

a b c (Å): 8.3561 8.3561 8.3561
angles (deg): 27.58 27.58 27.58
Closest atoms and distances in Å follow each position.
Fractional positions:
1 Y 0.0000 0.0000 0.0000  3 Cd 3.16
2 Y 0.2137 0.2137 0.2137  3 As 2.79
3 Cd 0.7567 0.7567 0.7567  3 As 2.69
4 As 0.4815 0.4815 0.4815  3 Cd 2.69, 3 Y 2.79

Energy of formation from the pure elements (eV/atom): -0.32
Spin magnetization (μB/f.u.): 0.91
Raw total energy (Ry per atom): -0.3904
Energy above the most stable polymorph in this dataset (eV/atom): 0.528

***

The following is a PBEsol calculation of ZrC after structural relaxation, from Alexandria.

a b c (Å): 4.5769 4.5769 4.5769
angles (deg): 90.00 90.00 90.00
Closest atoms and distances in Å follow each position.
Fractional positions:
1 Zr 0.0000 0.0000 0.5000  4 C 2.29
2 Zr 0.0000 0.5000 0.0000  4 C 2.29
3 Zr 0.5000 0.0000 0.0000  4 C 2.29
4 C 0.0000 0.5000 0.5000  4 Zr 2.29
5 C 0.5000 0.0000 0.5000  4 Zr 2.29
6 C 0.5000 0.5000 0.0000  4 Zr 2.29

Energy of formation from the pure elements (eV/atom): 0.62
Spin magnetization (μB/f.u.): 0.00
Raw total energy (Ry per atom): -0.6427
Energy above the most stable polymorph in this dataset (eV/atom): 1.541